Record 1
SrMoIr2 at its PBEsol-relaxed geometry, computed with meta-GGA SCAN.

CIF file:
```
data_SrMoIr2
_chemical_formula_sum 'Sr1 Mo1 Ir2'
_symmetry_space_group_name_H-M 'P 1'
_symmetry_Int_Tables_number 1
_cell_length_a 4.573
_cell_length_b 4.573
_cell_length_c 4.573
_cell_angle_alpha 60.00
_cell_angle_beta 60.00
_cell_angle_gamma 60.00
loop_
_symmetry_equiv_pos_as_xyz
'x,y,z'
loop_
_atom_site_label
_atom_site_type_symbol
_atom_site_fract_x
_atom_site_fract_y
_atom_site_fract_z
Sr1 Sr 0.250 0.250 0.250
Mo1 Mo 0.500 0.500 0.500
Ir1 Ir 0.000 0.000 0.000
Ir2 Ir 0.750 0.750 0.750
```

Results
uncorrected energy = -49.087 eV/atom
distance to the lowest polymorph of the same formula = 1.67 eV/f.u.
formation enthalpy at 0 K = 753 meV per atom
theoretical density = 13952 kg/m3
total moment = 0.00 Bohr magnetons per cell

***

Record 2
SrMo2Ir at its PBEsol-relaxed geometry, computed with meta-GGA SCAN.

CIF file:
```
data_SrMo2Ir
_chemical_formula_sum 'Sr1 Mo2 Ir1'
_symmetry_space_group_name_H-M 'P 1'
_symmetry_Int_Tables_number 1
_cell_length_a 4.614
_cell_length_b 4.614
_cell_length_c 4.614
_cell_angle_alpha 60.00
_cell_angle_beta 60.00
_cell_angle_gamma 60.00
loop_
_symmetry_equiv_pos_as_xyz
'x,y,z'
loop_
_atom_site_label
_atom_site_type_symbol
_atom_site_fract_x
_atom_site_fract_y
_atom_site_fract_z
Mo1 Mo 0.000 0.000 0.000
Mo2 Mo 0.750 0.750 0.750
Ir1 Ir 0.500 0.500 0.500
Sr1 Sr 0.250 0.250 0.250
```

Results
uncorrected energy = -40.048 eV/atom
distance to the lowest polymorph of the same formula = 0.00 eV/f.u.
formation enthalpy at 0 K = 738 meV per atom
theoretical density = 11278 kg/m3
total moment = 0.00 Bohr magnetons per cell

***

Record 3
SrMo2Ir at its PBEsol-relaxed geometry, computed with meta-GGA SCAN.

CIF file:
```
data_SrMo2Ir
_chemical_formula_sum 'Sr1 Mo2 Ir1'
_symmetry_space_group_name_H-M 'P 1'
_symmetry_Int_Tables_number 1
_cell_length_a 3.870
_cell_length_b 3.870
_cell_length_c 4.850
_cell_angle_alpha 90.00
_cell_angle_beta 90.00
_cell_angle_gamma 90.00
loop_
_symmetry_equiv_pos_as_xyz
'x,y,z'
loop_
_atom_site_label
_atom_site_type_symbol
_atom_site_fract_x
_atom_site_fract_y
_atom_site_fract_z
Mo1 Mo 0.000 0.500 0.000
Mo2 Mo 0.500 0.000 0.000
Sr1 Sr 0.500 0.500 0.500
Ir1 Ir 0.000 0.000 0.500
```

Results
uncorrected energy = -39.787 eV/atom
distance to the lowest polymorph of the same formula = 1.04 eV/f.u.
formation enthalpy at 0 K = 999 meV per atom
theoretical density = 10781 kg/m3
total moment = 0.00 Bohr magnetons per cell

***

Record 4
SrMoIr2 at its PBEsol-relaxed geometry, computed with meta-GGA SCAN.

CIF file:
```
data_SrMoIr2
_chemical_formula_sum 'Sr1 Mo1 Ir2'
_symmetry_space_group_name_H-M 'P 1'
_symmetry_Int_Tables_number 1
_cell_length_a 2.764
_cell_length_b 3.977
_cell_length_c 6.936
_cell_angle_alpha 90.00
_cell_angle_beta 90.00
_cell_angle_gamma 90.00
loop_
_symmetry_equiv_pos_as_xyz
'x,y,z'
loop_
_atom_site_label
_atom_site_type_symbol
_atom_site_fract_x
_atom_site_fract_y
_atom_site_fract_z
Ir1 Ir 0.000 0.000 0.054
Ir2 Ir 0.500 0.500 0.263
Mo1 Mo 0.000 0.000 0.410
Sr1 Sr 0.500 0.500 0.773
```

Results
uncorrected energy = -49.505 eV/atom
distance to the lowest polymorph of the same formula = 0.00 eV/f.u.
formation enthalpy at 0 K = 335 meV per atom
theoretical density = 12371 kg/m3
total moment = 0.00 Bohr magnetons per cell

***

Record 5
SrMo2Ir at its PBEsol-relaxed geometry, computed with meta-GGA SCAN.

CIF file:
```
data_SrMo2Ir
_chemical_formula_sum 'Sr1 Mo2 Ir1'
_symmetry_space_group_name_H-M 'P 1'
_symmetry_Int_Tables_number 1
_cell_length_a 2.769
_cell_length_b 5.367
_cell_length_c 5.505
_cell_angle_alpha 115.71
_cell_angle_beta 98.49
_cell_angle_gamma 102.31
loop_
_symmetry_equiv_pos_as_xyz
'x,y,z'
loop_
_atom_site_label
_atom_site_type_symbol
_atom_site_fract_x
_atom_site_fract_y
_atom_site_fract_z
Ir1 Ir 0.000 0.500 0.000
Mo1 Mo 0.500 0.500 0.500
Mo2 Mo 0.000 0.000 0.500
Sr1 Sr 0.500 0.000 0.000
```

Results
uncorrected energy = -39.960 eV/atom
distance to the lowest polymorph of the same formula = 0.35 eV/f.u.
formation enthalpy at 0 K = 827 meV per atom
theoretical density = 11307 kg/m3
total moment = 0.00 Bohr magnetons per cell

***

Record 6
TaMoIr2 at its PBEsol-relaxed geometry, computed with meta-GGA SCAN.

CIF file:
```
data_TaMoIr2
_chemical_formula_sum 'Ta1 Mo1 Ir2'
_symmetry_space_group_name_H-M 'P 1'
_symmetry_Int_Tables_number 1
_cell_length_a 3.874
_cell_length_b 3.939
_cell_length_c 3.939
_cell_angle_alpha 90.00
_cell_angle_beta 90.00
_cell_angle_gamma 90.00
loop_
_symmetry_equiv_pos_as_xyz
'x,y,z'
loop_
_atom_site_label
_atom_site_type_symbol
_atom_site_fract_x
_atom_site_fract_y
_atom_site_fract_z
Ir1 Ir 0.000 0.500 0.000
Ir2 Ir 0.000 0.000 0.500
Mo1 Mo 0.500 0.500 0.500
Ta1 Ta 0.500 0.000 0.000
```

Results
uncorrected energy = -61.509 eV/atom
distance to the lowest polymorph of the same formula = 0.00 eV/f.u.
formation enthalpy at 0 K = -592 meV per atom
theoretical density = 18265 kg/m3
total moment = 0.00 Bohr magnetons per cell

***

Record 7
TaMoIr at its PBEsol-relaxed geometry, computed with meta-GGA SCAN.

CIF file:
```
data_TaMoIr
_chemical_formula_sum 'Ta1 Mo1 Ir1'
_symmetry_space_group_name_H-M 'P 1'
_symmetry_Int_Tables_number 1
_cell_length_a 3.229
_cell_length_b 3.229
_cell_length_c 5.084
_cell_angle_alpha 108.52
_cell_angle_beta 108.52
_cell_angle_gamma 90.00
loop_
_symmetry_equiv_pos_as_xyz
'x,y,z'
loop_
_atom_site_label
_atom_site_type_symbol
_atom_site_fract_x
_atom_site_fract_y
_atom_site_fract_z
Ir1 Ir 0.997 0.997 0.994
Mo1 Mo 0.670 0.670 0.339
Ta1 Ta 0.333 0.333 0.667
```

Results
uncorrected energy = -57.684 eV/atom
formation enthalpy at 0 K = -162 meV per atom
theoretical density = 16450 kg/m3
total moment = 0.00 Bohr magnetons per cell

***

Record 8
Ta2MoIr at its PBEsol-relaxed geometry, computed with meta-GGA SCAN.

CIF file:
```
data_Ta2MoIr
_chemical_formula_sum 'Ta2 Mo1 Ir1'
_symmetry_space_group_name_H-M 'P 1'
_symmetry_Int_Tables_number 1
_cell_length_a 2.796
_cell_length_b 2.796
_cell_length_c 8.514
_cell_angle_alpha 90.00
_cell_angle_beta 90.00
_cell_angle_gamma 104.83
loop_
_symmetry_equiv_pos_as_xyz
'x,y,z'
loop_
_atom_site_label
_atom_site_type_symbol
_atom_site_fract_x
_atom_site_fract_y
_atom_site_fract_z
Ta1 Ta 0.000 0.000 0.259
Ta2 Ta 0.000 0.000 0.741
Mo1 Mo 0.500 0.500 0.000
Ir1 Ir 0.500 0.500 0.500
```

Results
uncorrected energy = -60.075 eV/atom
formation enthalpy at 0 K = -288 meV per atom
theoretical density = 16771 kg/m3
total moment = 0.00 Bohr magnetons per cell

***

Q: Look up the formation enthalpy at 0 K of the fifth one.
A: 827 meV per atom

***

Q: Which of these has the highest formation enthalpy at 0 K?
A: number 3

***

Q: Look up the uncorrected energy of the third one.
A: -39.787 eV/atom